Entry from Alexandria via LeMat-Bulk: crystalline MnTePtI2 at its relaxed geometry (GGA-PBE).

Cell lengths 5.471, 5.471, 5.384 Å; angles 90.00, 90.00, 90.00 degrees
Last column: magnetic moment on the atom in μB.
Sites, in units of the cell vectors:
Pt  0.000  0.000  0.000  -0.03
Mn  0.500  0.500  0.500  4.58
I  0.500  0.000  0.000  0.03
I  0.000  0.500  0.000  0.03
Te  0.000  0.000  0.500  -0.08

Calculated values
**Excess energy over the best structure of this formula in the dataset**: 0 meV per atom
**Raw formation energy**: 0.491 eV per atom
**Space-group type**: P4/mmm

***

Entry from Alexandria via LeMat-Bulk: crystalline PmZn4Ni2 at its relaxed geometry (GGA-PBE).

Cell lengths 4.056, 7.407, 7.407 Å; angles 90.00, 90.00, 90.00 degrees
Sites, in units of the cell vectors:
Zn  0.000  0.909  0.656
Zn  0.000  0.656  0.909
Zn  0.500  0.591  0.156
Zn  0.500  0.844  0.409
Zn  0.500  0.156  0.591
Zn  0.500  0.409  0.844
Zn  0.000  0.091  0.344
Zn  0.000  0.344  0.091
Ni  0.500  0.278  0.278
Ni  0.000  0.778  0.222
Ni  0.000  0.222  0.778
Ni  0.500  0.722  0.722
Pm  0.500  0.000  0.000
Pm  0.000  0.500  0.500

Calculated values
**Formation energy from the elements**: -0.332 eV/atom
**Space-group type**: P4_2/mnm

***

Entry from Alexandria via LeMat-Bulk: crystalline Tl2InTePt at its relaxed geometry (GGA-PBE).

Cell lengths 5.375, 5.375, 5.269 Å; angles 90.00, 90.00, 90.00 degrees
Sites, in units of the cell vectors:
Te  0.500  0.500  0.500
Tl  0.500  0.000  0.000
Tl  0.000  0.500  0.000
Pt  0.000  0.000  0.000
In  0.000  0.000  0.500

Calculated values
**Raw formation energy**: -0.208 eV per atom
**Space-group type**: P4/mmm

***

Energy values (in eV per cell) by entry order: -19.00; -47.47; -17.69.